Density functional theory data (PBE) for a relaxed Sr2CdPb crystal.

Cell: 8.0962 8.3340 7.9763 Å, 90.00 90.00 90.00°
With the nearest neighbours (Å) after each atom.
Space group Imma (No. 74)
Asymmetric unit:
Sr  0.2500  0.0020  0.2500 x8  4 Cd 3.52-3.53, 4 Pb 3.52-3.53
Cd  0.0000  0.2500  0.5035 x4  8 Sr 3.52-3.53, 1 Pb 3.93
Pb  0.0000  0.2500  0.9967 x4  8 Sr 3.52-3.53, 1 Cd 3.93

Properties
Raw total energy in Ry per atom: -0.1807

=====

Density functional theory data (PBE) for a relaxed AgOsSeO crystal.

Cell: 3.6013 3.6013 9.4717 Å, 90.00 90.00 90.00°
With the nearest neighbours (Å) after each atom.
Space group P4/nmm (No. 129, origin choice 2)
Asymmetric unit:
Ag  0.2500  0.7500  0.0000 x2  4 Ag 2.55
Os  0.2500  0.2500  0.3711 x2  4 O 2.18
Se  0.2500  0.2500  0.7519 x2  4 Os 2.80, 4 Ag 2.96, 4 O 2.99
O  0.2500  0.7500  0.5000 x2  4 Os 2.18

Properties
Raw total energy in Ry per atom: -0.3820
Total moment in μB/cell: 0.0